[1]
First-principles (GGA-PBEsol) data for a geometry-optimized Si2TcMo structure, as listed in Alexandria via LeMat-Bulk.

Computed properties:
Uncorrected formation energy   -0.463 eV/atom
Space group   Amm2 (38)
Crystal system   orthorhombic
Density of states at the Fermi level   1.70 states/eV/f.u.
Total magnetic moment   0.00 μB/cell
Energy relative to the lowest polymorph listed for this composition   0.053 eV per atom

abc: 4.040 4.634 4.634
angles: 38.51 90.00 90.00
Positions (direct):
1 Si 0.000 0.000 0.000
2 Si 0.500 0.176 0.176
3 Tc 0.500 0.453 0.453
4 Mo 0.000 0.726 0.726

***

[2]
First-principles (GGA-PBEsol) data for a geometry-optimized MgZrCd2 structure, as listed in Alexandria via LeMat-Bulk.

Computed properties:
Space group   P4mm (99)
Crystal system   tetragonal
Calculated formation energy   -0.09 eV/atom
Density of states at the Fermi level   2.39 states/eV/f.u.
Total magnetic moment   0.00 μB/cell

abc: 3.132 3.132 8.456
angles: 90.00 90.00 90.00
Positions (direct):
1 Mg 0.000 0.000 0.000
2 Zr 0.500 0.500 0.264
3 Cd 0.000 0.000 0.517
4 Cd 0.500 0.500 0.759

***

no.,total energy (eV per atom)
1,-9.095
2,-3.386